ZnCdSb after structural relaxation, computed with PBE.

E_tot in eV/f.u.: -6.1
Formation energy (no corrections) in eV per atom: 0.07
Excess energy over the best structure of this formula in the dataset in eV per atom: 0.028

abc: 6.6386 6.6386 6.6386
angles: 90.00 90.00 90.00
Space group F-43m (No. 216)
Unique sites:
1 Zn 0.0000 0.0000 0.0000
2 Cd 0.2500 0.2500 0.2500
3 Sb 0.2500 0.2500 0.7500